1.
Here is SrTeSN2 after structural relaxation from Alexandria. Energies are from PBE-GGA.

Cell lengths 4.760, 4.760, 6.013 Å; angles 90.00, 90.00, 90.00 degrees
Space group P4/mmm (No. 123)
Unique sites:
Sr 0.000 0.000 0.000 x1
Te 0.500 0.500 0.500 x1
S 0.000 0.000 0.500 x1
N 0.000 0.500 0.000 x2

Output
Calculated total energy: -3.6763 eV/atom
ΔE_f (raw): 1444 meV per atom
Polymorph energy (0 for the lowest one): 1149 meV per atom

2.
Here is SrTiSN2 after structural relaxation from Alexandria. Energies are from PBE-GGA.

Cell lengths 4.254, 4.254, 5.577 Å; angles 90.00, 90.00, 90.00 degrees
Space group P4/mmm (No. 123)
Unique sites:
Sr 0.000 0.000 0.000 x1
Ti 0.500 0.500 0.500 x1
S 0.000 0.000 0.500 x1
N 0.000 0.500 0.000 x2

Output
Calculated total energy: -4.6431 eV/atom
ΔE_f (raw): 1428 meV per atom
Polymorph energy (0 for the lowest one): 2117 meV per atom

3.
Here is SrTiSN2 after structural relaxation from Alexandria. Energies are from PBE-GGA.

Cell lengths 4.047, 4.047, 4.967 Å; angles 90.00, 90.00, 90.00 degrees
Space group P4/mmm (No. 123)
Unique sites:
Sr 0.000 0.000 0.000 x1
Ti 0.500 0.500 0.500 x1
S 0.500 0.500 0.000 x1
N 0.000 0.500 0.500 x2

Output
Calculated total energy: -6.7598 eV/atom
ΔE_f (raw): -689 meV per atom
Polymorph energy (0 for the lowest one): 0 meV per atom

4.
Here is SrTlSN2 after structural relaxation from Alexandria. Energies are from PBE-GGA.

Cell lengths 4.434, 4.434, 5.480 Å; angles 90.00, 90.00, 90.00 degrees
Space group P4/mmm (No. 123)
Unique sites:
Sr 0.000 0.000 0.000 x1
Tl 0.500 0.500 0.500 x1
S 0.500 0.500 0.000 x1
N 0.000 0.500 0.500 x2

Output
Calculated total energy: -4.2252 eV/atom
ΔE_f (raw): 740 meV per atom
Polymorph energy (0 for the lowest one): 0 meV per atom

5.
Here is SrTlSN2 after structural relaxation from Alexandria. Energies are from PBE-GGA.

Cell lengths 4.987, 4.987, 5.845 Å; angles 90.00, 90.00, 90.00 degrees
Space group P4/mmm (No. 123)
Unique sites:
Sr 0.000 0.000 0.000 x1
Tl 0.500 0.500 0.500 x1
S 0.000 0.000 0.500 x1
N 0.000 0.500 0.000 x2

Output
Calculated total energy: -3.8837 eV/atom
ΔE_f (raw): 1082 meV per atom
Polymorph energy (0 for the lowest one): 341 meV per atom

6.
Here is Sr2US2N2 after structural relaxation from Alexandria. Energies are from PBE-GGA.

Cell lengths 4.257, 4.257, 15.948 Å; angles 90.00, 90.00, 90.00 degrees
Space group I4/mmm (No. 139)
Unique sites:
Sr 0.000 0.000 0.138 x4
U 0.000 0.000 0.500 x2
S 0.000 0.000 0.330 x4
N 0.000 0.500 0.000 x4

Output
Calculated total energy: -7.3321 eV/atom
ΔE_f (raw): -1681 meV per atom

Record-wise ρ values, in g cm⁻³: 3.35, 3.22, 3.99, 5.43, 4.02, 5.81